Model w:
The following is a DFT calculation (PBE) of a geometry-optimized ZrBeTl2 structure.

Geometry as CIF:
```
data_ZrBeTl2
_chemical_formula_sum 'Zr2 Be2 Tl4'
_space_group_name_H-M_alt 'C m m m'
_space_group_IT_number 65
_space_group_name_Hall '-C 2 2'
_cell_length_a 3.326
_cell_length_b 5.744
_cell_length_c 9.187
_cell_angle_alpha 90.00
_cell_angle_beta 90.00
_cell_angle_gamma 90.00
loop_
_atom_site_label
_atom_site_fract_x
_atom_site_fract_y
_atom_site_fract_z
Zr1 0.000 0.000 0.000
Be1 0.000 0.000 0.500
Tl1 0.000 0.500 0.281
```

Values from the calculation:
**Total magnetic moment**: 0.00 μB/cell


Model x:
The following is a DFT calculation (PBE) of a geometry-optimized ZrBeTl2 structure.

Geometry as CIF:
```
data_ZrBeTl2
_chemical_formula_sum 'Zr2 Be2 Tl4'
_space_group_name_H-M_alt 'C m m m'
_space_group_IT_number 65
_space_group_name_Hall '-C 2 2'
_cell_length_a 6.100
_cell_length_b 8.763
_cell_length_c 3.207
_cell_angle_alpha 90.00
_cell_angle_beta 90.00
_cell_angle_gamma 90.00
loop_
_atom_site_label
_atom_site_fract_x
_atom_site_fract_y
_atom_site_fract_z
Zr1 0.000 0.000 0.000
Be1 0.000 0.500 0.000
Tl1 0.250 0.250 0.500
```

Values from the calculation:
**Total magnetic moment**: 0.00 μB/cell


Model y:
The following is a DFT calculation (PBE) of a geometry-optimized ZrBeTl2 structure.

Geometry as CIF:
```
data_ZrBeTl2
_chemical_formula_sum 'Zr1 Be1 Tl2'
_space_group_name_H-M_alt 'P 4 m m'
_space_group_IT_number 99
_cell_length_a 3.275
_cell_length_b 3.275
_cell_length_c 8.275
_cell_angle_alpha 90.00
_cell_angle_beta 90.00
_cell_angle_gamma 90.00
loop_
_space_group_symop_operation_xyz
'x,y,z'
'-y,x,z'
'-x,-y,z'
'y,-x,z'
'-x,y,z'
'y,x,z'
'x,-y,z'
'-y,-x,z'
loop_
_atom_site_label
_atom_site_fract_x
_atom_site_fract_y
_atom_site_fract_z
Zr1 0.000 0.000 0.000
Be1 0.500 0.500 0.165
Tl1 0.000 0.000 0.400
Tl2 0.500 0.500 0.719
```

Values from the calculation:
**Total magnetic moment**: 0.00 μB/cell


Last place for stability: model w


Model w:
The following is a DFT calculation (PBE) of a geometry-optimized ZrBeTl2 structure.

Geometry as CIF:
```
data_ZrBeTl2
_chemical_formula_sum 'Zr2 Be2 Tl4'
_space_group_name_H-M_alt 'I 4/m m m'
_space_group_IT_number 139
_space_group_name_Hall '-I 4 2'
_cell_length_a 4.204
_cell_length_b 4.204
_cell_length_c 9.495
_cell_angle_alpha 90.00
_cell_angle_beta 90.00
_cell_angle_gamma 90.00
loop_
_atom_site_label
_atom_site_fract_x
_atom_site_fract_y
_atom_site_fract_z
Zr1 0.000 0.000 0.000
Be1 0.000 0.000 0.500
Tl1 0.000 0.500 0.250
```

Values from the calculation:
**Total magnetic moment**: 0.00 μB/cell


Model x:
The following is a DFT calculation (PBE) of a geometry-optimized ZrBeTl2 structure.

Geometry as CIF:
```
data_ZrBeTl2
_chemical_formula_sum 'Zr4 Be4 Tl8'
_space_group_name_H-M_alt 'I -4 2 d'
_space_group_IT_number 122
_space_group_name_Hall 'I -4 2bw'
_cell_length_a 7.574
_cell_length_b 7.574
_cell_length_c 5.887
_cell_angle_alpha 90.00
_cell_angle_beta 90.00
_cell_angle_gamma 90.00
loop_
_atom_site_label
_atom_site_fract_x
_atom_site_fract_y
_atom_site_fract_z
Zr1 0.000 0.000 0.000
Be1 0.000 0.000 0.500
Tl1 0.194 0.250 0.625
```

Values from the calculation:
**Total magnetic moment**: 0.00 μB/cell


Last place for stability: model w


Model w:
The following is a DFT calculation (PBE) of a geometry-optimized ZrBeTl2 structure.

Geometry as CIF:
```
data_ZrBeTl2
_chemical_formula_sum 'Zr1 Be1 Tl2'
_space_group_name_H-M_alt 'P 1 2/m 1'
_space_group_IT_number 10
_cell_length_a 3.277
_cell_length_b 4.335
_cell_length_c 6.001
_cell_angle_alpha 90.00
_cell_angle_beta 95.69
_cell_angle_gamma 90.00
loop_
_space_group_symop_operation_xyz
'x,y,z'
'-x,-y,-z'
'-x,y,-z'
'x,-y,z'
loop_
_atom_site_label
_atom_site_fract_x
_atom_site_fract_y
_atom_site_fract_z
Zr1 0.000 0.000 0.000
Be1 0.500 0.000 0.500
Tl1 0.377 0.500 0.735
```

Values from the calculation:
**Total magnetic moment**: 0.00 μB/cell


Model x:
The following is a DFT calculation (PBE) of a geometry-optimized ZrBeTl2 structure.

Geometry as CIF:
```
data_ZrBeTl2
_chemical_formula_sum 'Zr3 Be3 Tl6'
_space_group_name_H-M_alt 'R -3 m'
_space_group_IT_number 166
_space_group_name_Hall '-R 3 2"'
_cell_length_a 3.2539
_cell_length_b 3.2539
_cell_length_c 27.8028
_cell_angle_alpha 90.00
_cell_angle_beta 90.00
_cell_angle_gamma 120.00
loop_
_atom_site_label
_atom_site_fract_x
_atom_site_fract_y
_atom_site_fract_z
Zr1 0.0000 0.0000 0.0000
Be1 0.0000 0.0000 0.5000
Tl1 0.0000 0.0000 0.2389
```

Values from the calculation:
**Total magnetic moment**: 0.00 μB/cell


Last place for stability: model x